Cs2CdI6Cl: optimized geometry, GGA-PBE.

The structure in POSCAR format:
```
Cs2CdI6Cl
1.0
-4.430 4.430 5.978
4.430 -4.430 5.978
4.430 4.430 -5.978
Cs Cd I Cl
2 1 6 1
Cartesian
4.430 0.000 2.989 Cs
0.000 4.430 2.989 Cs
0.000 0.000 0.000 Cd
2.015 2.015 0.000 I
2.415 -2.415 5.978 I
0.000 0.000 3.309 I
0.000 0.000 8.646 I
-2.415 2.415 5.978 I
2.415 2.415 5.978 I
0.000 0.000 5.978 Cl
```

## Properties
raw formation energy: -0.702 eV/atom
DOS at the Fermi energy: 0.932 states/eV per atom
E_tot: -2.0786 eV per atom
space group: I4/mmm (139)